{
  "formula": "Mn4GaRu",
  "functional": "PBE-GGA",
  "state": "relaxed",
  "rho_g_cm3": 9.00,
  "e_tot_ev_per_atom": -8.0575,
  "magmom_total_mub_per_atom": 0.09,
  "cell": [[0.000, 3.303, 3.303], [3.303, 0.000, 3.303], [3.303, 3.303, 0.000]],
  "species": ["Mn", "Mn", "Mn", "Mn", "Ga", "Ru"],
  "frac_coords": [[0.377, 0.377, 0.377], [0.377, 0.377, 0.870], [0.377, 0.870, 0.377], [0.870, 0.377, 0.377], [0.750, 0.750, 0.750], [0.000, 0.000, 0.000]]
}